Here is a relaxed YTeW3 crystal from Alexandria via LeMat-Bulk. Energies are from PBE.

The structure in CIF format:
```
data_YTeW3
_chemical_formula_sum 'Y1 Te1 W3'
_cell_length_a 4.9299
_cell_length_b 4.9299
_cell_length_c 4.9299
_cell_angle_alpha 90.00
_cell_angle_beta 90.00
_cell_angle_gamma 90.00
_symmetry_space_group_name_H-M 'P m -3 m'
_symmetry_Int_Tables_number 221
_symmetry_space_group_name_Hall '-P 4 2 3'
loop_
_atom_site_label
_atom_site_type_symbol
_atom_site_fract_x
_atom_site_fract_y
_atom_site_fract_z
_atom_site_occupancy
Y1 Y 0.0000 0.0000 0.0000 1
Te1 Te 0.5000 0.5000 0.5000 1
W1 W 0.0000 0.5000 0.5000 1
```

Mass density ... 10.64 g cm⁻³
ΔE_f (raw) ... 1824 meV/atom

Here is a relaxed YTe2W crystal from Alexandria via LeMat-Bulk. Energies are from PBE.

The structure in CIF format:
```
data_YTe2W
_chemical_formula_sum 'Y3 Te6 W3'
_cell_length_a 3.5130
_cell_length_b 3.5130
_cell_length_c 27.2802
_cell_angle_alpha 90.00
_cell_angle_beta 90.00
_cell_angle_gamma 120.00
_symmetry_space_group_name_H-M 'R -3 m'
_symmetry_Int_Tables_number 166
_symmetry_space_group_name_Hall '-R 3 2"'
loop_
_atom_site_label
_atom_site_type_symbol
_atom_site_fract_x
_atom_site_fract_y
_atom_site_fract_z
_atom_site_occupancy
Y1 Y 0.0000 0.0000 0.0000 1
Te1 Te 0.0000 0.0000 0.2369 1
W1 W 0.0000 0.0000 0.5000 1
```

Mass density ... 9.02 g cm⁻³
ΔE_f (raw) ... 118 meV/atom

Here is a relaxed YTe2W crystal from Alexandria via LeMat-Bulk. Energies are from PBE.

The structure in CIF format:
```
data_YTe2W
_chemical_formula_sum 'Y4 Te8 W4'
_cell_length_a 5.6415
_cell_length_b 5.6415
_cell_length_c 15.8010
_cell_angle_alpha 90.00
_cell_angle_beta 90.00
_cell_angle_gamma 90.00
_symmetry_space_group_name_H-M 'I -4 2 d'
_symmetry_Int_Tables_number 122
_symmetry_space_group_name_Hall 'I -4 2bw'
loop_
_atom_site_label
_atom_site_type_symbol
_atom_site_fract_x
_atom_site_fract_y
_atom_site_fract_z
_atom_site_occupancy
Y1 Y 0.0000 0.0000 0.0000 1
Te1 Te 0.1895 0.2500 0.6250 1
W1 W 0.0000 0.0000 0.5000 1
```

Mass density ... 6.97 g cm⁻³
ΔE_f (raw) ... 268 meV/atom

Here is a relaxed YTeW2 crystal from Alexandria via LeMat-Bulk. Energies are from PBE.

The structure in CIF format:
```
data_YTeW2
_chemical_formula_sum 'Y2 Te2 W4'
_cell_length_a 5.7201
_cell_length_b 10.8099
_cell_length_c 3.2705
_cell_angle_alpha 90.00
_cell_angle_beta 124.35
_cell_angle_gamma 90.00
_symmetry_space_group_name_H-M 'C 1 2/m 1'
_symmetry_Int_Tables_number 12
_symmetry_space_group_name_Hall '-C 2y'
loop_
_atom_site_label
_atom_site_type_symbol
_atom_site_fract_x
_atom_site_fract_y
_atom_site_fract_z
_atom_site_occupancy
Y1 Y 0.0000 0.0000 0.0000 1
Te1 Te 0.0000 0.5000 0.0000 1
W1 W 0.2500 0.2500 0.5000 1
```

Mass density ... 11.62 g cm⁻³
ΔE_f (raw) ... 613 meV/atom

Here is a relaxed YTeW2 crystal from Alexandria via LeMat-Bulk. Energies are from PBE.

The structure in CIF format:
```
data_YTeW2
_chemical_formula_sum 'Y2 Te2 W4'
_cell_length_a 3.5300
_cell_length_b 5.1043
_cell_length_c 9.3893
_cell_angle_alpha 90.00
_cell_angle_beta 90.00
_cell_angle_gamma 90.00
_symmetry_space_group_name_H-M 'I m m 2'
_symmetry_Int_Tables_number 44
_symmetry_space_group_name_Hall 'I 2 -2'
loop_
_atom_site_label
_atom_site_type_symbol
_atom_site_fract_x
_atom_site_fract_y
_atom_site_fract_z
_atom_site_occupancy
Y1 Y 0.0000 0.0000 0.0000 1
Te1 Te 0.0000 0.5000 0.2298 1
W1 W 0.0000 0.0000 0.4809 1
W2 W 0.0000 0.5000 0.7826 1
```

Mass density ... 11.47 g cm⁻³
ΔE_f (raw) ... 424 meV/atom

Here is a relaxed YTe2W crystal from Alexandria via LeMat-Bulk. Energies are from PBE.

The structure in CIF format:
```
data_YTe2W
_chemical_formula_sum 'Y2 Te4 W2'
_cell_length_a 3.5676
_cell_length_b 4.1830
_cell_length_c 12.9809
_cell_angle_alpha 90.00
_cell_angle_beta 90.00
_cell_angle_gamma 90.00
_symmetry_space_group_name_H-M 'I m m 2'
_symmetry_Int_Tables_number 44
_symmetry_space_group_name_Hall 'I 2 -2'
loop_
_atom_site_label
_atom_site_type_symbol
_atom_site_fract_x
_atom_site_fract_y
_atom_site_fract_z
_atom_site_occupancy
Y1 Y 0.0000 0.0000 0.0000 1
Te1 Te 0.0000 0.0000 0.6037 1
Te2 Te 0.0000 0.5000 0.8304 1
W1 W 0.0000 0.5000 0.2667 1
```

Mass density ... 9.05 g cm⁻³
ΔE_f (raw) ... -156 meV/atom

Here is a relaxed ZnTe2W crystal from Alexandria via LeMat-Bulk. Energies are from PBE.

The structure in CIF format:
```
data_ZnTe2W
_chemical_formula_sum 'Zn3 Te6 W3'
_cell_length_a 3.4794
_cell_length_b 3.4794
_cell_length_c 29.7590
_cell_angle_alpha 90.00
_cell_angle_beta 90.00
_cell_angle_gamma 120.00
_symmetry_space_group_name_H-M 'R -3 m'
_symmetry_Int_Tables_number 166
_symmetry_space_group_name_Hall '-R 3 2"'
loop_
_atom_site_label
_atom_site_type_symbol
_atom_site_fract_x
_atom_site_fract_y
_atom_site_fract_z
_atom_site_occupancy
Zn1 Zn 0.0000 0.0000 0.0000 1
Te1 Te 0.0000 0.0000 0.2299 1
W1 W 0.0000 0.0000 0.5000 1
```

Mass density ... 8.05 g cm⁻³
ΔE_f (raw) ... 258 meV/atom

Here is a relaxed ZnTe2W crystal from Alexandria via LeMat-Bulk. Energies are from PBE.

The structure in CIF format:
```
data_ZnTe2W
_chemical_formula_sum 'Zn2 Te4 W2'
_cell_length_a 9.6968
_cell_length_b 3.4184
_cell_length_c 7.4104
_cell_angle_alpha 90.00
_cell_angle_beta 112.38
_cell_angle_gamma 90.00
_symmetry_space_group_name_H-M 'C 1 m 1'
_symmetry_Int_Tables_number 8
_symmetry_space_group_name_Hall 'C -2y'
loop_
_atom_site_label
_atom_site_type_symbol
_atom_site_fract_x
_atom_site_fract_y
_atom_site_fract_z
_atom_site_occupancy
Zn1 Zn 0.0000 0.0000 0.0000 1
Te1 Te 0.0989 0.5000 0.7385 1
Te2 Te 0.2515 0.5000 0.2656 1
W1 W 0.2836 0.0000 0.0024 1
```

Mass density ... 7.38 g cm⁻³
ΔE_f (raw) ... 264 meV/atom

Here is a relaxed ZnTeW2 crystal from Alexandria via LeMat-Bulk. Energies are from PBE.

The structure in CIF format:
```
data_ZnTeW2
_chemical_formula_sum 'Zn3 Te3 W6'
_cell_length_a 3.0483
_cell_length_b 3.0483
_cell_length_c 25.9975
_cell_angle_alpha 90.00
_cell_angle_beta 90.00
_cell_angle_gamma 120.00
_symmetry_space_group_name_H-M 'R -3 m'
_symmetry_Int_Tables_number 166
_symmetry_space_group_name_Hall '-R 3 2"'
loop_
_atom_site_label
_atom_site_type_symbol
_atom_site_fract_x
_atom_site_fract_y
_atom_site_fract_z
_atom_site_occupancy
Zn1 Zn 0.0000 0.0000 0.0000 1
Te1 Te 0.0000 0.0000 0.5000 1
W1 W 0.0000 0.0000 0.2501 1
```

Mass density ... 13.35 g cm⁻³
ΔE_f (raw) ... 756 meV/atom

Here is a relaxed ZnTe2W crystal from Alexandria via LeMat-Bulk. Energies are from PBE.

The structure in CIF format:
```
data_ZnTe2W
_chemical_formula_sum 'Zn2 Te4 W2'
_cell_length_a 3.2876
_cell_length_b 4.4826
_cell_length_c 12.6359
_cell_angle_alpha 90.00
_cell_angle_beta 90.00
_cell_angle_gamma 90.00
_symmetry_space_group_name_H-M 'I m m 2'
_symmetry_Int_Tables_number 44
_symmetry_space_group_name_Hall 'I 2 -2'
loop_
_atom_site_label
_atom_site_type_symbol
_atom_site_fract_x
_atom_site_fract_y
_atom_site_fract_z
_atom_site_occupancy
Zn1 Zn 0.0000 0.0000 0.0000 1
Te1 Te 0.0000 0.0000 0.6260 1
Te2 Te 0.0000 0.5000 0.8534 1
W1 W 0.0000 0.5000 0.2962 1
```

Mass density ... 9.00 g cm⁻³
ΔE_f (raw) ... 504 meV/atom

Here is a relaxed ZnTeW3 crystal from Alexandria via LeMat-Bulk. Energies are from PBE.

The structure in CIF format:
```
data_ZnTeW3
_chemical_formula_sum 'Zn1 Te1 W3'
_cell_length_a 4.8797
_cell_length_b 4.8797
_cell_length_c 4.8797
_cell_angle_alpha 90.00
_cell_angle_beta 90.00
_cell_angle_gamma 90.00
_symmetry_space_group_name_H-M 'P m -3 m'
_symmetry_Int_Tables_number 221
_symmetry_space_group_name_Hall '-P 4 2 3'
loop_
_atom_site_label
_atom_site_type_symbol
_atom_site_fract_x
_atom_site_fract_y
_atom_site_fract_z
_atom_site_occupancy
Zn1 Zn 0.0000 0.0000 0.0000 1
Te1 Te 0.5000 0.5000 0.5000 1
W1 W 0.0000 0.5000 0.5000 1
```

Mass density ... 10.64 g cm⁻³
ΔE_f (raw) ... 2522 meV/atom

Here is a relaxed ZnTe2W crystal from Alexandria via LeMat-Bulk. Energies are from PBE.

The structure in CIF format:
```
data_ZnTe2W
_chemical_formula_sum 'Zn1 Te2 W1'
_cell_length_a 3.2933
_cell_length_b 3.2933
_cell_length_c 8.9746
_cell_angle_alpha 90.00
_cell_angle_beta 90.00
_cell_angle_gamma 90.00
_symmetry_space_group_name_H-M 'P 4/m m m'
_symmetry_Int_Tables_number 123
_symmetry_space_group_name_Hall '-P 4 2'
loop_
_atom_site_label
_atom_site_type_symbol
_atom_site_fract_x
_atom_site_fract_y
_atom_site_fract_z
_atom_site_occupancy
Zn1 Zn 0.0000 0.0000 0.0000 1
Te1 Te 0.5000 0.5000 0.3128 1
W1 W 0.0000 0.0000 0.5000 1
```

Mass density ... 8.61 g cm⁻³
ΔE_f (raw) ... 323 meV/atom

Here is a relaxed ZnTeW2 crystal from Alexandria via LeMat-Bulk. Energies are from PBE.

The structure in CIF format:
```
data_ZnTeW2
_chemical_formula_sum 'Zn2 Te2 W4'
_cell_length_a 9.2407
_cell_length_b 3.2922
_cell_length_c 4.7184
_cell_angle_alpha 90.00
_cell_angle_beta 96.98
_cell_angle_gamma 90.00
_symmetry_space_group_name_H-M 'C 1 2/m 1'
_symmetry_Int_Tables_number 12
_symmetry_space_group_name_Hall '-C 2y'
loop_
_atom_site_label
_atom_site_type_symbol
_atom_site_fract_x
_atom_site_fract_y
_atom_site_fract_z
_atom_site_occupancy
Zn1 Zn 0.0000 0.0000 0.0000 1
Te1 Te 0.0000 0.5000 0.5000 1
W1 W 0.2481 0.5000 0.2180 1
```

Mass density ... 13.07 g cm⁻³
ΔE_f (raw) ... 618 meV/atom

Here is a relaxed ZnTeW2 crystal from Alexandria via LeMat-Bulk. Energies are from PBE.

The structure in CIF format:
```
data_ZnTeW2
_chemical_formula_sum 'Zn2 Te2 W4'
_cell_length_a 3.1844
_cell_length_b 4.7121
_cell_length_c 9.5525
_cell_angle_alpha 90.00
_cell_angle_beta 90.00
_cell_angle_gamma 90.00
_symmetry_space_group_name_H-M 'C m m m'
_symmetry_Int_Tables_number 65
_symmetry_space_group_name_Hall '-C 2 2'
loop_
_atom_site_label
_atom_site_type_symbol
_atom_site_fract_x
_atom_site_fract_y
_atom_site_fract_z
_atom_site_occupancy
Zn1 Zn 0.0000 0.0000 0.0000 1
Te1 Te 0.0000 0.0000 0.5000 1
W1 W 0.0000 0.5000 0.2304 1
```

Mass density ... 12.99 g cm⁻³
ΔE_f (raw) ... 957 meV/atom

Here is a relaxed ZnTe2W crystal from Alexandria via LeMat-Bulk. Energies are from PBE.

The structure in CIF format:
```
data_ZnTe2W
_chemical_formula_sum 'Zn1 Te2 W1'
_cell_length_a 3.4571
_cell_length_b 4.4960
_cell_length_c 5.4373
_cell_angle_alpha 90.00
_cell_angle_beta 90.00
_cell_angle_gamma 90.00
_symmetry_space_group_name_H-M 'P m m m'
_symmetry_Int_Tables_number 47
_symmetry_space_group_name_Hall '-P 2 2'
loop_
_atom_site_label
_atom_site_type_symbol
_atom_site_fract_x
_atom_site_fract_y
_atom_site_fract_z
_atom_site_occupancy
Zn1 Zn 0.0000 0.0000 0.0000 1
Te1 Te 0.0000 0.5000 0.5000 1
Te2 Te 0.5000 0.5000 0.0000 1
W1 W 0.5000 0.0000 0.5000 1
```

Mass density ... 9.91 g cm⁻³
ΔE_f (raw) ... 914 meV/atom

Here is a relaxed ZnTeW2 crystal from Alexandria via LeMat-Bulk. Energies are from PBE.

The structure in CIF format:
```
data_ZnTeW2
_chemical_formula_sum 'Zn2 Te2 W4'
_cell_length_a 4.0967
_cell_length_b 4.0967
_cell_length_c 8.1748
_cell_angle_alpha 90.00
_cell_angle_beta 90.00
_cell_angle_gamma 90.00
_symmetry_space_group_name_H-M 'I -4 m 2'
_symmetry_Int_Tables_number 119
_symmetry_space_group_name_Hall 'I -4 -2'
loop_
_atom_site_label
_atom_site_type_symbol
_atom_site_fract_x
_atom_site_fract_y
_atom_site_fract_z
_atom_site_occupancy
Zn1 Zn 0.0000 0.0000 0.0000 1
Te1 Te 0.0000 0.5000 0.7500 1
W1 W 0.0000 0.0000 0.5000 1
W2 W 0.0000 0.5000 0.2500 1
```

Mass density ... 13.57 g cm⁻³
ΔE_f (raw) ... 753 meV/atom

Here is a relaxed ZnTeW2 crystal from Alexandria via LeMat-Bulk. Energies are from PBE.

The structure in CIF format:
```
data_ZnTeW2
_chemical_formula_sum 'Zn1 Te1 W2'
_cell_length_a 3.1403
_cell_length_b 4.6933
_cell_length_c 5.2452
_cell_angle_alpha 90.00
_cell_angle_beta 105.86
_cell_angle_gamma 90.00
_symmetry_space_group_name_H-M 'P 1 m 1'
_symmetry_Int_Tables_number 6
_symmetry_space_group_name_Hall 'P -2y'
loop_
_atom_site_label
_atom_site_type_symbol
_atom_site_fract_x
_atom_site_fract_y
_atom_site_fract_z
_atom_site_occupancy
Zn1 Zn 0.0000 0.0000 0.0000 1
Te1 Te 0.2260 0.5000 0.2534 1
W1 W 0.3240 0.0000 0.5703 1
W2 W 0.9132 0.5000 0.6830 1
```

Mass density ... 12.52 g cm⁻³
ΔE_f (raw) ... 651 meV/atom

Here is a relaxed ZnTe2W crystal from Alexandria via LeMat-Bulk. Energies are from PBE.

The structure in CIF format:
```
data_ZnTe2W
_chemical_formula_sum 'Zn2 Te4 W2'
_cell_length_a 4.2220
_cell_length_b 4.2220
_cell_length_c 9.4746
_cell_angle_alpha 90.00
_cell_angle_beta 90.00
_cell_angle_gamma 90.00
_symmetry_space_group_name_H-M 'I -4 m 2'
_symmetry_Int_Tables_number 119
_symmetry_space_group_name_Hall 'I -4 -2'
loop_
_atom_site_label
_atom_site_type_symbol
_atom_site_fract_x
_atom_site_fract_y
_atom_site_fract_z
_atom_site_occupancy
Zn1 Zn 0.0000 0.0000 0.0000 1
Te1 Te 0.0000 0.0000 0.5000 1
Te2 Te 0.0000 0.5000 0.7500 1
W1 W 0.0000 0.5000 0.2500 1
```

Mass density ... 9.92 g cm⁻³
ΔE_f (raw) ... 897 meV/atom

Here is a relaxed ZnTeW2 crystal from Alexandria via LeMat-Bulk. Energies are from PBE.

The structure in CIF format:
```
data_ZnTeW2
_chemical_formula_sum 'Zn2 Te2 W4'
_cell_length_a 3.3011
_cell_length_b 4.6595
_cell_length_c 9.0571
_cell_angle_alpha 90.00
_cell_angle_beta 90.00
_cell_angle_gamma 90.00
_symmetry_space_group_name_H-M 'I m m m'
_symmetry_Int_Tables_number 71
_symmetry_space_group_name_Hall '-I 2 2'
loop_
_atom_site_label
_atom_site_type_symbol
_atom_site_fract_x
_atom_site_fract_y
_atom_site_fract_z
_atom_site_occupancy
Zn1 Zn 0.0000 0.0000 0.0000 1
Te1 Te 0.0000 0.0000 0.5000 1
W1 W 0.0000 0.5000 0.2556 1
```

Mass density ... 13.37 g cm⁻³
ΔE_f (raw) ... 756 meV/atom

Here is a relaxed ZnTeW4 crystal from Alexandria via LeMat-Bulk. Energies are from PBE.

The structure in CIF format:
```
data_ZnTeW4
_chemical_formula_sum 'Zn4 Te4 W16'
_cell_length_a 7.6116
_cell_length_b 7.6116
_cell_length_c 7.6116
_cell_angle_alpha 90.00
_cell_angle_beta 90.00
_cell_angle_gamma 90.00
_symmetry_space_group_name_H-M 'F -4 3 m'
_symmetry_Int_Tables_number 216
_symmetry_space_group_name_Hall 'F -4 2 3'
loop_
_atom_site_label
_atom_site_type_symbol
_atom_site_fract_x
_atom_site_fract_y
_atom_site_fract_z
_atom_site_occupancy
Zn1 Zn 0.0000 0.0000 0.0000 1
Te1 Te 0.2500 0.2500 0.2500 1
W1 W 0.1267 0.1267 0.6267 1
```

Mass density ... 13.98 g cm⁻³
ΔE_f (raw) ... 816 meV/atom